## Ac2Al3Pd4 (PBE)

Data for a geometry-optimized Ac2Al3Pd4 structure.

It has space group Cmce (No. 64), with a = 5.8814 Å, b = 16.4394 Å, c = 7.6828 Å, α = 90.00°, β = 90.00° and γ = 90.00°. The inequivalent atoms are Ac at (0.0000, 0.1085, 0.0858), Al at (0.0000, 0.0000, 0.5000), Al at (0.2500, 0.2261, 0.7500), Pd at (0.0000, 0.1874, 0.4808) and Pd at (0.2500, 0.0656, 0.7500).

As for the calculated formation energy: -0.7898 eV/atom.